No. 1
# Th6FeSn3, relaxed, DFT PBE
# * E_form: -290 meV/atom
data_Th6FeSn3
_chemical_formula_sum 'Th36 Fe6 Sn18'
_cell_length_a 11.2422
_cell_length_b 11.2422
_cell_length_c 16.0285
_cell_angle_alpha 90.00
_cell_angle_beta 90.00
_cell_angle_gamma 120.00
_space_group_name_H-M_alt 'R -3 m'
_space_group_IT_number 166
_space_group_name_Hall '-R 3 2"'
loop_
_atom_site_label
_atom_site_fract_x
_atom_site_fract_y
_atom_site_fract_z
Th1 0.1100 0.2199 0.0987
Th2 0.1099 0.2199 0.4044
Fe1 0.0000 0.0000 0.0000
Fe2 0.0000 0.0000 0.5000
Sn1 0.0785 0.5392 0.4137

---

No. 2
# Th2FeSn, relaxed, DFT PBE
# * E_form: -207 meV/atom
# * offset from the most stable computed form: 0.004 eV/atom
data_Th2FeSn
_chemical_formula_sum 'Th2 Fe1 Sn1'
_cell_length_a 3.391
_cell_length_b 3.391
_cell_length_c 8.552
_cell_angle_alpha 90.00
_cell_angle_beta 90.00
_cell_angle_gamma 90.00
_space_group_name_H-M_alt 'P 4/m m m'
_space_group_IT_number 123
_space_group_name_Hall '-P 4 2'
loop_
_atom_site_label
_atom_site_fract_x
_atom_site_fract_y
_atom_site_fract_z
Th1 0.000 0.000 0.205
Fe1 0.500 0.500 0.000
Sn1 0.500 0.500 0.500

---

No. 3
# ThFeSn2, relaxed, DFT PBE
# * E_form: -164 meV/atom
data_ThFeSn2
_chemical_formula_sum 'Th3 Fe3 Sn6'
_cell_length_a 4.4761
_cell_length_b 4.4761
_cell_length_c 16.1564
_cell_angle_alpha 90.00
_cell_angle_beta 90.00
_cell_angle_gamma 120.00
_space_group_name_H-M_alt 'R -3 m'
_space_group_IT_number 166
_space_group_name_Hall '-R 3 2"'
loop_
_atom_site_label
_atom_site_fract_x
_atom_site_fract_y
_atom_site_fract_z
Th1 0.0000 0.0000 0.0000
Fe1 0.0000 0.0000 0.5000
Sn1 0.0000 0.0000 0.2190

---

No. 4
# Th4FeSn, relaxed, DFT PBE
# * E_form: -200 meV/atom
# * offset from the most stable computed form: 0.011 eV/atom
data_Th4FeSn
_chemical_formula_sum 'Th16 Fe4 Sn4'
_cell_length_a 16.686
_cell_length_b 7.042
_cell_length_c 6.048
_cell_angle_alpha 90.00
_cell_angle_beta 107.95
_cell_angle_gamma 90.00
_space_group_name_H-M_alt 'C 1 2/m 1'
_space_group_IT_number 12
loop_
_space_group_symop_operation_xyz
'x,y,z'
'-x,-y,-z'
'-x,y,-z'
'x,-y,z'
'x+1/2,y+1/2,z'
'-x+1/2,-y+1/2,-z'
'-x+1/2,y+1/2,-z'
'x+1/2,-y+1/2,z'
loop_
_atom_site_label
_atom_site_fract_x
_atom_site_fract_y
_atom_site_fract_z
Th1 0.000 0.238 0.000
Th2 0.121 0.245 0.614
Th3 0.192 0.500 0.175
Fe1 0.036 0.500 0.340
Sn1 0.193 0.000 0.206

---

No. 5
# Th4FeSn2, relaxed, DFT PBE
# * E_form: -345 meV/atom
data_Th4FeSn2
_chemical_formula_sum 'Th8 Fe2 Sn4'
_cell_length_a 6.308
_cell_length_b 6.747
_cell_length_c 9.574
_cell_angle_alpha 90.00
_cell_angle_beta 102.71
_cell_angle_gamma 90.00
_space_group_name_H-M_alt 'P 1 21/m 1'
_space_group_IT_number 11
loop_
_space_group_symop_operation_xyz
'x,y,z'
'-x,-y,-z'
'-x,y+1/2,-z'
'x,-y+1/2,z'
loop_
_atom_site_label
_atom_site_fract_x
_atom_site_fract_y
_atom_site_fract_z
Th1 0.195 0.250 0.091
Th2 0.244 0.511 0.742
Th3 0.283 0.750 0.399
Fe1 0.000 0.250 0.829
Sn1 0.195 0.250 0.438
Sn2 0.344 0.750 0.055

---

No. 6
# Th2FeSn, relaxed, DFT PBE
# * E_form: 97 meV/atom
# * offset from the most stable computed form: 0.308 eV/atom
data_Th2FeSn
_chemical_formula_sum 'Th6 Fe3 Sn3'
_cell_length_a 3.8492
_cell_length_b 3.8492
_cell_length_c 28.8952
_cell_angle_alpha 90.00
_cell_angle_beta 90.00
_cell_angle_gamma 120.00
_space_group_name_H-M_alt 'R -3 m'
_space_group_IT_number 166
_space_group_name_Hall '-R 3 2"'
loop_
_atom_site_label
_atom_site_fract_x
_atom_site_fract_y
_atom_site_fract_z
Th1 0.0000 0.0000 0.1147
Fe1 0.0000 0.0000 0.5000
Sn1 0.0000 0.0000 0.0000